Computed, not measured: a geometry-optimized Zn5Rh structure at the PBE level of DFT.

## Properties
The value obtained for the energy of formation from the pure elements is -0.1774 eV per atom.

abc: 5.1378 5.1378 10.1658
angles: 139.60 139.60 32.04
Positions (direct):
Rh 0.0018 0.0018 0.0023
Zn 0.1284 0.1284 0.7361
Zn 0.3335 0.3335 0.6658
Zn 0.4398 0.4398 0.3867
Zn 0.6598 0.6598 0.3227
Zn 0.7700 0.7700 0.0530